# PBE BaCaZr8P12O48, optimized geometry
# Total moment (μB per atom): 0.000
# DOS at the Fermi energy (states/eV per cell): 0.000
# E (eV per formula unit): -569.4
data_BaCaZr8P12O48
_chemical_formula_sum 'Ba1 Ca1 Zr8 P12 O48'
_space_group_name_H-M_alt 'P -1'
_space_group_IT_number 2
_cell_length_a 8.891
_cell_length_b 9.391
_cell_length_c 12.920
_cell_angle_alpha 85.66
_cell_angle_beta 89.99
_cell_angle_gamma 89.94
loop_
_space_group_symop_operation_xyz
'x,y,z'
'-x,-y,-z'
loop_
_atom_site_label
_atom_site_type_symbol
_atom_site_fract_x
_atom_site_fract_y
_atom_site_fract_z
Ba1 Ba 0.000 0.000 0.000
Ca1 Ca 0.500 0.500 0.500
Zr1 Zr 0.001 0.281 0.644
Zr2 Zr 0.003 0.696 0.844
Zr3 Zr 0.497 0.204 0.355
Zr4 Zr 0.499 0.790 0.142
P1 P 0.136 0.654 0.107
P2 P 0.150 0.369 0.396
P3 P 0.217 0.996 0.752
P4 P 0.291 0.495 0.739
P5 P 0.351 0.143 0.108
P6 P 0.362 0.854 0.393
O1 O 0.050 0.730 0.191
O2 O 0.060 0.305 0.489
O3 O 0.086 0.721 0.999
O4 O 0.099 0.295 0.299
O5 O 0.099 0.493 0.113
O6 O 0.100 0.904 0.816
O7 O 0.131 0.531 0.379
O8 O 0.134 0.103 0.676
O9 O 0.182 0.183 0.098
O10 O 0.189 0.412 0.670
O11 O 0.191 0.836 0.383
O12 O 0.198 0.602 0.798
O13 O 0.307 0.673 0.118
O14 O 0.313 0.074 0.830
O15 O 0.313 0.897 0.688
O16 O 0.322 0.340 0.415
O17 O 0.363 0.978 0.114
O18 O 0.376 0.393 0.817
O19 O 0.396 0.014 0.404
O20 O 0.406 0.579 0.666
O21 O 0.414 0.204 0.208
O22 O 0.419 0.762 0.491
O23 O 0.438 0.207 0.013
O24 O 0.445 0.799 0.300

---

# PBE BaCaPa2O7, optimized geometry
# Total moment (μB per atom): 0.000
# DOS at the Fermi energy (states/eV per cell): 0.000
# E (eV per formula unit): -95.0
data_BaCaPa2O7
_chemical_formula_sum 'Ba2 Ca2 Pa4 O14'
_space_group_name_H-M_alt 'I -4 m 2'
_space_group_IT_number 119
_space_group_name_Hall 'I -4 -2'
_cell_length_a 4.398
_cell_length_b 4.398
_cell_length_c 20.534
_cell_angle_alpha 90.00
_cell_angle_beta 90.00
_cell_angle_gamma 90.00
loop_
_atom_site_label
_atom_site_type_symbol
_atom_site_fract_x
_atom_site_fract_y
_atom_site_fract_z
Ba1 Ba 0.000 0.000 0.000
Ca1 Ca 0.000 0.500 0.250
Pa1 Pa 0.000 0.000 0.390
O1 O 0.000 0.000 0.291
O2 O 0.000 0.000 0.500
O3 O 0.000 0.500 0.109
O4 O 0.000 0.500 0.590

---

# PBE Ba4CaPa3O12, optimized geometry
# Total moment (μB per atom): 0.051
# DOS at the Fermi energy (states/eV per cell): 15.481
# E (eV per formula unit): -162.5
data_Ba4CaPa3O12
_chemical_formula_sum 'Ba8 Ca2 Pa6 O24'
_space_group_name_H-M_alt 'I m -3 m'
_space_group_IT_number 229
_space_group_name_Hall '-I 4 2 3'
_cell_length_a 8.942
_cell_length_b 8.942
_cell_length_c 8.942
_cell_angle_alpha 90.00
_cell_angle_beta 90.00
_cell_angle_gamma 90.00
loop_
_atom_site_label
_atom_site_type_symbol
_atom_site_fract_x
_atom_site_fract_y
_atom_site_fract_z
Ba1 Ba 0.250 0.250 0.250
Ca1 Ca 0.000 0.000 0.000
Pa1 Pa 0.000 0.000 0.500
O1 O 0.000 0.000 0.262
O2 O 0.000 0.250 0.500

---

# PBE BaCa2Pb2O7, optimized geometry
# Total moment (μB per atom): 0.000
# DOS at the Fermi energy (states/eV per cell): 3.776
# E (eV per formula unit): -70.3
data_BaCa2Pb2O7
_chemical_formula_sum 'Ba2 Ca4 Pb4 O14'
_space_group_name_H-M_alt 'I m m 2'
_space_group_IT_number 44
_cell_length_a 4.585
_cell_length_b 18.504
_cell_length_c 4.542
_cell_angle_alpha 90.00
_cell_angle_beta 90.00
_cell_angle_gamma 90.00
loop_
_space_group_symop_operation_xyz
'x,y,z'
'-x,-y,z'
'-x,y,z'
'x,-y,z'
'x+1/2,y+1/2,z+1/2'
'-x+1/2,-y+1/2,z+1/2'
'-x+1/2,y+1/2,z+1/2'
'x+1/2,-y+1/2,z+1/2'
loop_
_atom_site_label
_atom_site_type_symbol
_atom_site_fract_x
_atom_site_fract_y
_atom_site_fract_z
Ba1 Ba 0.000 0.000 0.000
Ca1 Ca 0.000 0.246 0.539
Pb1 Pb 0.000 0.388 0.026
O1 O 0.000 0.113 0.537
O2 O 0.000 0.270 0.040
O3 O 0.000 0.380 0.540
O4 O 0.000 0.500 0.129

---

# PBE Ba3CaPb2O6, optimized geometry
# Total moment (μB per atom): 0.000
# DOS at the Fermi energy (states/eV per cell): 0.000
# E (eV per formula unit): -70.4
data_Ba3CaPb2O6
_chemical_formula_sum 'Ba3 Ca1 Pb2 O6'
_space_group_name_H-M_alt 'P -3 m 1'
_space_group_IT_number 164
_space_group_name_Hall '-P 3 2"'
_cell_length_a 6.3217
_cell_length_b 6.3217
_cell_length_c 7.0655
_cell_angle_alpha 90.00
_cell_angle_beta 90.00
_cell_angle_gamma 120.00
loop_
_atom_site_label
_atom_site_type_symbol
_atom_site_fract_x
_atom_site_fract_y
_atom_site_fract_z
Ba1 Ba 0.0000 0.0000 0.0000
Ba2 Ba 0.3333 0.6667 0.6078
Ca1 Ca 0.0000 0.0000 0.5000
Pb1 Pb 0.3333 0.6667 0.1270
O1 O 0.1705 0.3410 0.3022

---

# PBE Ba2CaPbO5, optimized geometry
# Total moment (μB per atom): 0.000
# E (eV per formula unit): -53.1
data_Ba2CaPbO5
_chemical_formula_sum 'Ba8 Ca4 Pb4 O20'
_space_group_name_H-M_alt 'C m c 21'
_space_group_IT_number 36
_cell_length_a 3.653
_cell_length_b 15.575
_cell_length_c 11.146
_cell_angle_alpha 90.00
_cell_angle_beta 90.00
_cell_angle_gamma 90.00
loop_
_space_group_symop_operation_xyz
'x,y,z'
'-x,-y,z+1/2'
'-x,y,z'
'x,-y,z+1/2'
'x+1/2,y+1/2,z'
'-x+1/2,-y+1/2,z+1/2'
'-x+1/2,y+1/2,z'
'x+1/2,-y+1/2,z+1/2'
loop_
_atom_site_label
_atom_site_type_symbol
_atom_site_fract_x
_atom_site_fract_y
_atom_site_fract_z
Ba1 Ba 0.000 0.119 0.000
Ba2 Ba 0.000 0.125 0.560
Ca1 Ca 0.000 0.483 0.762
Pb1 Pb 0.000 0.227 0.286
O1 O 0.000 0.088 0.306
O2 O 0.000 0.278 0.918
O3 O 0.000 0.287 0.656
O4 O 0.000 0.368 0.286
O5 O 0.000 0.498 0.559

---

# PBE BaCa2PbO, optimized geometry
# Total moment (μB per atom): 0.000
# DOS at the Fermi energy (states/eV per cell): 0.642
# E (eV per formula unit): -21.6
data_BaCa2PbO
_chemical_formula_sum 'Ba1 Ca2 Pb1 O1'
_space_group_name_H-M_alt 'P 4/m m m'
_space_group_IT_number 123
_space_group_name_Hall '-P 4 2'
_cell_length_a 5.036
_cell_length_b 5.036
_cell_length_c 5.391
_cell_angle_alpha 90.00
_cell_angle_beta 90.00
_cell_angle_gamma 90.00
loop_
_atom_site_label
_atom_site_type_symbol
_atom_site_fract_x
_atom_site_fract_y
_atom_site_fract_z
Ba1 Ba 0.000 0.000 0.000
Ca1 Ca 0.000 0.500 0.500
Pb1 Pb 0.500 0.500 0.000
O1 O 0.000 0.000 0.500

---

# PBE BaCaPbO3, optimized geometry
# Total moment (μB per atom): 0.000
# DOS at the Fermi energy (states/eV per cell): 0.000
# E (eV per formula unit): -35.0
data_BaCaPbO3
_chemical_formula_sum 'Ba2 Ca2 Pb2 O6'
_space_group_name_H-M_alt 'P 1 21/m 1'
_space_group_IT_number 11
_cell_length_a 7.102
_cell_length_b 3.544
_cell_length_c 9.957
_cell_angle_alpha 90.00
_cell_angle_beta 93.51
_cell_angle_gamma 90.00
loop_
_space_group_symop_operation_xyz
'x,y,z'
'-x,-y,-z'
'-x,y+1/2,-z'
'x,-y+1/2,z'
loop_
_atom_site_label
_atom_site_type_symbol
_atom_site_fract_x
_atom_site_fract_y
_atom_site_fract_z
Ba1 Ba 0.149 0.250 0.202
Ca1 Ca 0.369 0.750 0.889
Pb1 Pb 0.203 0.250 0.581
O1 O 0.120 0.750 0.427
O2 O 0.148 0.250 0.825
O3 O 0.398 0.750 0.115